No. 1
First-principles (PBE) data for a relaxed Pm4PrTm crystal, as listed in Alexandria.

Summary:
E above lowest polymorph   0.145 eV per atom
Space-group type   F-43m
E_tot   -26.71 eV for the cell shown
Formation enthalpy at 0 K   0.257 eV per atom

a b c (Å): 6.6836 6.6836 6.6836
angles (deg): 60.00 60.00 60.00
Closest atoms and distances in Å follow each position.
Positions (direct):
Pr: 0.2500 0.2500 0.2500  12 Pm 3.92, 4 Tm 4.09
Tm: 0.0000 0.0000 0.0000  12 Pm 3.92, 4 Pr 4.09
Pm: 0.6258 0.6258 0.1226  6 Pm 3.32-3.36
Pm: 0.6258 0.1226 0.6258  6 Pm 3.32-3.36
Pm: 0.6258 0.6258 0.6258  6 Pm 3.32-3.36
Pm: 0.1226 0.6258 0.6258  6 Pm 3.32-3.36


No. 2
First-principles (PBE) data for a relaxed SbMo2Ir crystal, as listed in Alexandria.

Summary:
Formation energy without anion corrections   225 meV per atom
Space-group type   P4mm
E_tot   -33.75 eV for the cell shown

a b c (Å): 3.3172 3.3172 6.1740
angles (deg): 90.00 90.00 90.00
Closest atoms and distances in Å follow each position.
Positions (direct):
Ir: 0.5000 0.5000 0.7684  5 Mo 2.73-2.91, 4 Sb 2.88
Mo: 0.0000 0.0000 0.9944  4 Ir 2.73, 4 Mo 2.79
Mo: 0.5000 0.5000 0.2391  4 Mo 2.79, 4 Sb 2.84, 1 Ir 2.91
Sb: 0.0000 0.0000 0.4980  6 Mo 2.84-3.11, 4 Ir 2.88


No. 3
First-principles (PBE) data for a relaxed Tm2Ga5Co2Ni crystal, as listed in Alexandria.

Summary:
Space-group type   P4/mbm
E_tot   -96.01 eV for the cell shown
Formation enthalpy at 0 K   -0.393 eV per atom

a b c (Å): 3.7955 9.2188 9.2188
angles (deg): 90.00 90.00 90.00
Closest atoms and distances in Å follow each position.
Positions (direct):
Tm: 0.0000 0.6819 0.1819  3 Co 2.66-2.80
Tm: 0.0000 0.3181 0.8181  3 Co 2.66-2.80
Tm: 0.0000 0.1819 0.3181  3 Co 2.66-2.80
Tm: 0.0000 0.8181 0.6819  3 Co 2.66-2.80
Ga: 0.5000 0.2005 0.0578  2 Co 2.61, 2 Ni 2.70, 3 Ga 2.72-2.81
Ga: 0.5000 0.7995 0.9422  2 Co 2.61, 2 Ni 2.70, 3 Ga 2.72-2.81
Ga: 0.5000 0.0578 0.7995  2 Co 2.61, 2 Ni 2.70, 3 Ga 2.72-2.81
Ga: 0.5000 0.7005 0.4422  2 Co 2.61, 2 Ni 2.70, 3 Ga 2.72-2.81
Ga: 0.5000 0.9422 0.2005  2 Co 2.61, 2 Ni 2.70, 3 Ga 2.72-2.81
Ga: 0.5000 0.2995 0.5578  2 Co 2.61, 2 Ni 2.70, 3 Ga 2.72-2.81
Ga: 0.5000 0.5578 0.7005  2 Co 2.61, 2 Ni 2.70, 3 Ga 2.72-2.81
Ga: 0.5000 0.4422 0.2995  2 Co 2.61, 2 Ni 2.70, 3 Ga 2.72-2.81
Ga: 0.5000 0.5000 0.0000  4 Co 2.41
Ga: 0.5000 0.0000 0.5000  4 Co 2.41
Co: 0.0000 0.1141 0.6141  6 Ga 2.41-2.61, 1 Tm 2.66
Co: 0.0000 0.8859 0.3859  6 Ga 2.41-2.61, 1 Tm 2.66
Co: 0.0000 0.6141 0.8859  6 Ga 2.41-2.61, 1 Tm 2.66
Co: 0.0000 0.3859 0.1141  6 Ga 2.41-2.61, 1 Tm 2.66
Ni: 0.0000 0.0000 0.0000  8 Ga 2.70
Ni: 0.0000 0.5000 0.5000  8 Ga 2.70


No. 4
First-principles (PBE) data for a relaxed K2TeBr crystal, as listed in Alexandria.

Summary:
E above lowest polymorph   0.191 eV per atom
Formation energy without anion corrections   -988 meV per atom
Space-group type   Fm-3m
E_tot   -10.96 eV for the cell shown

a b c (Å): 5.9234 5.9234 5.9234
angles (deg): 60.00 60.00 60.00
Closest atoms and distances in Å follow each position.
Positions (direct):
K: 0.2500 0.2500 0.2500  4 Br 3.63, 4 Te 3.63
K: 0.7500 0.7500 0.7500  4 Br 3.63, 4 Te 3.63
Te: 0.5000 0.5000 0.5000  8 K 3.63
Br: 0.0000 0.0000 0.0000  8 K 3.63


No. 5
First-principles (PBE) data for a relaxed TaCoSN2 crystal, as listed in Alexandria.

Summary:
E above lowest polymorph   0.000 eV per atom
Formation energy without anion corrections   510 meV per atom
Space-group type   P4/mmm
E_tot   -37.19 eV for the cell shown

a b c (Å): 3.9553 3.9553 5.0971
angles (deg): 90.00 90.00 90.00
Closest atoms and distances in Å follow each position.
Positions (direct):
S: 0.0000 0.0000 0.5000  2 Ta 2.55, 4 Co 2.80
N: 0.0000 0.5000 0.0000  2 Ta 1.98
N: 0.5000 0.0000 0.0000  2 Ta 1.98
Co: 0.5000 0.5000 0.5000  4 S 2.80
Ta: 0.0000 0.0000 0.0000  4 N 1.98


No. 6
First-principles (PBE) data for a relaxed HgTeCl4 crystal, as listed in Alexandria.

Summary:
Formation energy without anion corrections   594 meV per atom
Space-group type   F-43m
E_tot   -7.27 eV for the cell shown

a b c (Å): 6.0548 6.0548 6.0548
angles (deg): 60.00 60.00 60.00
Closest atoms and distances in Å follow each position.
Positions (direct):
Hg: 0.7500 0.7500 0.7500  12 Cl 3.55, 4 Te 3.71
Te: 0.0000 0.0000 0.0000  12 Cl 3.55, 4 Hg 3.71
Cl: 0.8752 0.3749 0.3749  6 Cl 3.03
Cl: 0.3749 0.3749 0.8752  6 Cl 3.03
Cl: 0.3749 0.8752 0.3749  6 Cl 3.03
Cl: 0.3749 0.3749 0.3749  6 Cl 3.03


No. 7
First-principles (PBE) data for a relaxed Zr2AsPb crystal, as listed in Alexandria.

Summary:
E above lowest polymorph   0.188 eV per atom
Space-group type   P4mm
E_tot   -27.26 eV for the cell shown
Formation enthalpy at 0 K   -0.451 eV per atom

a b c (Å): 3.9360 3.9360 5.9806
angles (deg): 90.00 90.00 90.00
Closest atoms and distances in Å follow each position.
Positions (direct):
Pb: 0.5000 0.5000 0.8092  6 Zr 2.93-3.00
As: 0.0000 0.0000 0.4223  5 Zr 2.76-2.87
Zr: 0.0000 0.0000 0.9607  1 As 2.76, 4 Pb 2.93
Zr: 0.5000 0.5000 0.3078  4 As 2.87, 2 Pb 2.98-3.00


No. 8
First-principles (PBE) data for a relaxed Th3In crystal, as listed in Alexandria.

Summary:
Space-group type   Fm-3m
E_tot   -24.91 eV for the cell shown
Formation enthalpy at 0 K   0.021 eV per atom

a b c (Å): 5.5739 5.5739 5.5739
angles (deg): 60.00 60.00 60.00
Closest atoms and distances in Å follow each position.
Positions (direct):
Th: 0.0000 0.0000 0.0000  8 Th 3.41
Th: 0.7500 0.7500 0.7500  4 In 3.41, 4 Th 3.41
Th: 0.2500 0.2500 0.2500  4 Th 3.41, 4 In 3.41
In: 0.5000 0.5000 0.5000  8 Th 3.41


No. 9
First-principles (PBE) data for a relaxed SnAsBr crystal, as listed in Alexandria.

Summary:
E above lowest polymorph   0.000 eV per atom
Formation energy without anion corrections   -329 meV per atom
Space-group type   Pnnm
E_tot   -45.25 eV for the cell shown

a b c (Å): 4.1402 6.0399 16.2684
angles (deg): 90.00 90.00 90.00
Closest atoms and distances in Å follow each position.
Positions (direct):
Sn: 0.5000 0.4974 0.2028  1 Br 2.57, 3 As 2.67-2.68
Sn: 0.0000 0.0026 0.7028  1 Br 2.57, 3 As 2.67-2.68
Sn: 0.0000 0.9974 0.2972  1 Br 2.57, 3 As 2.67-2.68
Sn: 0.5000 0.5026 0.7972  1 Br 2.57, 3 As 2.67-2.68
As: 0.5000 0.2599 0.6597  3 Sn 2.67-2.68
As: 0.0000 0.7599 0.8403  3 Sn 2.67-2.68
As: 0.0000 0.2401 0.1597  3 Sn 2.67-2.68
As: 0.5000 0.7401 0.3403  3 Sn 2.67-2.68
Br: 0.5000 0.2253 0.9168  1 Sn 2.57
Br: 0.0000 0.7253 0.5832  1 Sn 2.57
Br: 0.5000 0.7747 0.0832  1 Sn 2.57
Br: 0.0000 0.2747 0.4168  1 Sn 2.57


No. 10
First-principles (PBE) data for a relaxed La2ZrF crystal, as listed in Alexandria.

Summary:
E above lowest polymorph   0.000 eV per atom
Formation energy without anion corrections   -659 meV per atom
Space-group type   I-42d
E_tot   -45.82 eV for the cell shown

a b c (Å): 6.0182 6.0182 7.5818
angles (deg): 66.62 66.62 90.00
Closest atoms and distances in Å follow each position.
Positions (direct):
F: 0.5000 0.5000 0.0000  4 La 2.44
F: 0.2500 0.7500 0.5000  4 La 2.44
Zr: 0.0000 0.0000 0.0000  4 La 2.88
Zr: 0.7500 0.2500 0.5000  4 La 2.88
La: 0.5609 0.1250 0.2500  2 F 2.44
La: 0.1890 0.6250 0.2500  2 F 2.44
La: 0.3750 0.4390 0.7500  2 F 2.44
La: 0.8750 0.8109 0.7500  2 F 2.44


No. 11
First-principles (PBE) data for a relaxed LaPmLuZr crystal, as listed in Alexandria.

Summary:
Space-group type   F-43m
E_tot   -21.80 eV for the cell shown
Formation enthalpy at 0 K   0.237 eV per atom

a b c (Å): 5.5497 5.5497 5.5497
angles (deg): 60.00 60.00 60.00
Closest atoms and distances in Å follow each position.
Positions (direct):
Lu: 0.5000 0.5000 0.5000  4 La 3.40, 4 Zr 3.40
Pm: 0.0000 0.0000 0.0000  4 Zr 3.40, 4 La 3.40
Zr: 0.2500 0.2500 0.2500  4 Lu 3.40, 4 Pm 3.40
La: 0.7500 0.7500 0.7500  4 Lu 3.40, 4 Pm 3.40


No. 12
First-principles (PBE) data for a relaxed SiI2BrO crystal, as listed in Alexandria.

Summary:
E above lowest polymorph   1.090 eV per atom
Formation energy without anion corrections   834 meV per atom
Space-group type   P4/mmm
E_tot   -10.99 eV for the cell shown

a b c (Å): 6.1241 6.1241 3.8090
angles (deg): 90.00 90.00 90.00
Closest atoms and distances in Å follow each position.
Positions (direct):
I: 0.0000 0.5000 0.0000  2 Br 3.06
I: 0.5000 0.0000 0.0000  2 Br 3.06
Si: 0.5000 0.5000 0.5000  8 I 3.61, 2 Si 3.81
O: 0.0000 0.0000 0.5000  2 Br 1.90
Br: 0.0000 0.0000 0.0000  2 O 1.90


Number 2 is which compound?
SbMo2Ir